Bi3O2F5: PBEsol geometry, SCAN.

Summary:
SG   Pnma (62)
Excess energy over the best structure of this formula in the dataset   0 meV/atom

Cell lengths 5.630, 5.855, 17.591 Å; angles 90.00, 90.00, 90.00 degrees
Element x y z (fractional)
Bi 0.256 0.963 0.250
Bi 0.307 0.036 0.902
Bi 0.693 0.964 0.402
Bi 0.193 0.536 0.402
Bi 0.693 0.964 0.098
Bi 0.807 0.464 0.902
Bi 0.307 0.036 0.598
Bi 0.744 0.037 0.750
Bi 0.193 0.536 0.098
Bi 0.756 0.537 0.250
Bi 0.244 0.463 0.750
Bi 0.807 0.464 0.598
O 0.523 0.273 0.670
O 0.023 0.227 0.670
O 0.977 0.773 0.330
O 0.977 0.773 0.170
O 0.523 0.273 0.830
O 0.477 0.727 0.330
O 0.023 0.227 0.830
O 0.477 0.727 0.170
F 0.157 0.660 0.628
F 0.915 0.717 0.482
F 0.415 0.783 0.482
F 0.836 0.593 0.750
F 0.336 0.907 0.750
F 0.343 0.160 0.128
F 0.415 0.783 0.018
F 0.657 0.840 0.872
F 0.664 0.093 0.250
F 0.085 0.283 0.982
F 0.657 0.840 0.628
F 0.343 0.160 0.372
F 0.915 0.717 0.018
F 0.843 0.340 0.128
F 0.585 0.217 0.982
F 0.164 0.407 0.250
F 0.157 0.660 0.872
F 0.085 0.283 0.518
F 0.585 0.217 0.518
F 0.843 0.340 0.372

***

NbAsP2O: PBEsol geometry, SCAN.

Summary:
E   -16.274 eV/atom
SG   P4/mmm (123)

Cell lengths 3.810, 4.914, 4.914 Å; angles 90.00, 90.00, 90.00 degrees
Element x y z (fractional)
P 0.000 0.500 0.000
P 0.000 0.000 0.500
Nb 0.000 0.000 0.000
O 0.500 0.000 0.000
As 0.500 0.500 0.500

***

SiIrI2: PBEsol geometry, SCAN.

Summary:
E   -37.279 eV/atom
SG   Fm-3m (225)

Cell lengths 4.913, 4.913, 4.913 Å; angles 60.00, 60.00, 60.00 degrees
Element x y z (fractional)
Si 0.000 0.000 0.000
Ir 0.500 0.500 0.500
I 0.750 0.750 0.750
I 0.250 0.250 0.250

***

Fe2Rh3: PBEsol geometry, SCAN.

Summary:
SG   R-3m (166)
Excess energy over the best structure of this formula in the dataset   6 meV/atom

Cell lengths 2.636, 2.636, 10.620 Å; angles 82.87, 82.87, 60.00 degrees
Element x y z (fractional)
Fe 0.600 0.600 0.199
Fe 0.400 0.400 0.801
Rh 0.798 0.798 0.607
Rh 0.202 0.202 0.393
Rh 0.000 0.000 0.000

***

no.,M_tot (μB/f.u.)
1,0.0
2,0.0
3,1.1
4,6.8